[1]
This record from Alexandria via LeMat-Bulk describes Na2NdAgCl6 after structural relaxation. The functional is GGA-PBE.

As for the total energy: -0.283 Ry/atom.

It has space group P1 (No. 1), with a = 7.074 Å, b = 7.078 Å, c = 7.537 Å, α = 90.06°, β = 117.95° and γ = 119.96°. Symmetry generates all atoms from Na at (0.000, 0.000, 0.000), Na at (0.012, 0.506, 0.517), Nd at (0.609, 0.305, 0.914), Ag at (0.588, 0.794, 0.382), Cl at (0.103, 0.406, 0.198), Cl at (0.116, 0.199, 0.701), Cl at (0.501, 0.096, 0.198), Cl at (0.503, 0.918, 0.701), Cl at (0.784, 0.585, 0.701) and Cl at (0.792, 0.697, 0.198).

=====

[2]
This record from Alexandria via LeMat-Bulk describes NaNiAg2Cl6 after structural relaxation. The functional is GGA-PBE.

As for the total energy: -0.227 Ry/atom.

It has space group P1 (No. 1), with a = 6.552 Å, b = 6.578 Å, c = 7.094 Å, α = 63.32°, β = 63.60° and γ = 61.50°. Symmetry generates all atoms from Na at (0.000, 0.000, 0.000), Ni at (0.509, 0.518, 0.457), Ag at (0.186, 0.188, 0.431), Ag at (0.697, 0.707, 0.885), Cl at (0.135, 0.761, 0.668), Cl at (0.310, 0.572, 0.211), Cl at (0.416, 0.148, 0.676), Cl at (0.583, 0.887, 0.203), Cl at (0.736, 0.438, 0.684) and Cl at (0.886, 0.310, 0.223).

=====

[3]
This record from Alexandria via LeMat-Bulk describes Na2NiAgCl6 after structural relaxation. The functional is GGA-PBE.

As for the total energy: -0.237 Ry/atom.

It has space group P2_1/c (No. 14), with a = 6.564 Å, b = 6.950 Å, c = 11.584 Å, α = 90.00°, β = 124.22° and γ = 90.00°. Symmetry generates all atoms from Na at (0.221, 0.084, 0.250), Ni at (0.500, 0.000, 0.000), Ag at (0.000, 0.000, 0.500), Cl at (0.160, 0.179, 0.945), Cl at (0.261, 0.709, 0.942) and Cl at (0.383, 0.028, 0.770).

=====

[4]
This record from Alexandria via LeMat-Bulk describes Na2NpAgCl6 after structural relaxation. The functional is GGA-PBE.

As for the total energy: -0.325 Ry/atom.

It has space group P2_1/c (No. 14), with a = 6.892 Å, b = 7.326 Å, c = 12.416 Å, α = 90.00°, β = 121.83° and γ = 90.00°. Symmetry generates all atoms from Na at (0.208, 0.081, 0.242), Np at (0.500, 0.000, 0.000), Ag at (0.000, 0.000, 0.500), Cl at (0.109, 0.190, 0.927), Cl at (0.238, 0.690, 0.918) and Cl at (0.413, 0.073, 0.762).

=====

[5]
This record from Alexandria via LeMat-Bulk describes NaNpAg2Cl6 after structural relaxation. The functional is GGA-PBE.

As for the total energy: -0.317 Ry/atom.

It has space group P1 (No. 1), with a = 7.024 Å, b = 7.025 Å, c = 7.595 Å, α = 90.01°, β = 117.53° and γ = 119.99°. Symmetry generates all atoms from Na at (0.000, 0.000, 0.000), Np at (0.000, 0.500, 0.500), Ag at (0.384, 0.692, 0.077), Ag at (0.616, 0.309, 0.925), Cl at (0.132, 0.728, 0.240), Cl at (0.166, 0.893, 0.761), Cl at (0.488, 0.595, 0.760), Cl at (0.513, 0.405, 0.239), Cl at (0.834, 0.108, 0.239) and Cl at (0.870, 0.274, 0.762).

=====

[6]
This record from Alexandria via LeMat-Bulk describes NaAgOsCl6 after structural relaxation. The functional is GGA-PBE.

As for the total energy: -0.268 Ry/atom.

It has space group P-31c (No. 163), with a = 6.6724 Å, b = 6.6724 Å, c = 11.3931 Å, α = 90.00°, β = 90.00° and γ = 120.00°. Symmetry generates all atoms from Na at (0.3333, 0.6667, 0.2500), Ag at (0.0000, 0.0000, 0.0000), Os at (0.3333, 0.6667, 0.7500) and Cl at (0.0459, 0.3790, 0.6298).

=====

[7]
This record from Alexandria via LeMat-Bulk describes NaAg2OsCl8 after structural relaxation. The functional is GGA-PBE.

As for the total energy: -0.249 Ry/atom.

It has space group P2/m (No. 10), with a = 6.454 Å, b = 7.898 Å, c = 6.876 Å, α = 90.00°, β = 112.87° and γ = 90.00°. Symmetry generates all atoms from Na at (0.000, 0.000, 0.000), Ag at (0.000, 0.231, 0.500), Os at (0.000, 0.500, 0.000), Cl at (0.184, 0.500, 0.766), Cl at (0.239, 0.000, 0.747) and Cl at (0.244, 0.293, 0.209).

=====

[8]
This record from Alexandria via LeMat-Bulk describes NaPaAgCl6 after structural relaxation. The functional is GGA-PBE.

As for the total energy: -0.316 Ry/atom.

It has space group P-31c (No. 163), with a = 6.9702 Å, b = 6.9702 Å, c = 12.1852 Å, α = 90.00°, β = 90.00° and γ = 120.00°. Symmetry generates all atoms from Na at (0.3333, 0.6667, 0.2500), Pa at (0.3333, 0.6667, 0.7500), Ag at (0.0000, 0.0000, 0.0000) and Cl at (0.0199, 0.3498, 0.6269).

=====

[9]
This record from Alexandria via LeMat-Bulk describes NaAgPbCl6 after structural relaxation. The functional is GGA-PBE.

As for the total energy: -0.218 Ry/atom.

It has space group P4_2nm (No. 102), with a = 6.418 Å, b = 6.418 Å, c = 12.133 Å, α = 90.00°, β = 90.00° and γ = 90.00°. Symmetry generates all atoms from Na at (0.000, 0.000, 0.000), Ag at (0.000, 0.000, 0.670), Pb at (0.000, 0.000, 0.335), Cl at (0.190, 0.190, 0.498), Cl at (0.202, 0.202, 0.180) and Cl at (0.210, 0.210, 0.826).

=====

[10]
This record from Alexandria via LeMat-Bulk describes NaAg4PbCl8 after structural relaxation. The functional is GGA-PBE.

As for the total energy: -0.219 Ry/atom.

It has space group R3m (No. 160, hexagonal axes), with a = 8.0945 Å, b = 8.0945 Å, c = 20.0271 Å, α = 90.00°, β = 90.00° and γ = 120.00°. Symmetry generates all atoms from Na at (0.0000, 0.0000, 0.0000), Ag at (0.0000, 0.0000, 0.2656), Ag at (0.0023, 0.5012, 0.1331), Pb at (0.0000, 0.0000, 0.6328), Cl at (0.0000, 0.0000, 0.3951), Cl at (0.0000, 0.0000, 0.8647), Cl at (0.0162, 0.5081, 0.3877) and Cl at (0.1672, 0.3345, 0.2088).

=====

[11]
This record from Alexandria via LeMat-Bulk describes NaAgPb2Cl6 after structural relaxation. The functional is GGA-PBE.

As for the total energy: -0.250 Ry/atom.

It has space group P1 (No. 1), with a = 7.260 Å, b = 7.268 Å, c = 7.640 Å, α = 90.11°, β = 118.28° and γ = 119.87°. Symmetry generates all atoms from Na at (0.000, 0.000, 0.000), Ag at (0.011, 0.505, 0.515), Pb at (0.598, 0.799, 0.396), Pb at (0.601, 0.301, 0.902), Cl at (0.085, 0.208, 0.696), Cl at (0.087, 0.381, 0.200), Cl at (0.489, 0.878, 0.697), Cl at (0.492, 0.112, 0.198), Cl at (0.818, 0.706, 0.198) and Cl at (0.820, 0.611, 0.696).

=====

[12]
This record from Alexandria via LeMat-Bulk describes NaAg2PbCl8 after structural relaxation. The functional is GGA-PBE.

As for the total energy: -0.204 Ry/atom.

It has space group I-4 (No. 82), with a = 7.133 Å, b = 7.133 Å, c = 12.819 Å, α = 90.00°, β = 90.00° and γ = 90.00°. Symmetry generates all atoms from Na at (0.000, 0.000, 0.000), Ag at (0.000, 0.000, 0.500), Ag at (0.000, 0.500, 0.250), Pb at (0.000, 0.500, 0.750), Cl at (0.086, 0.318, 0.523) and Cl at (0.148, 0.809, 0.218).

=====

Number 1: formation energy from raw total energies -165.0 kJ per mole of atoms. Number 2: formation energy from raw total energies -67.2 kJ per mole of atoms. Number 3: formation energy from raw total energies -95.7 kJ per mole of atoms. Number 4: formation energy from raw total energies -142.2 kJ per mole of atoms. Number 5: formation energy from raw total energies -117.2 kJ per mole of atoms. Number 6: formation energy from raw total energies -67.6 kJ per mole of atoms. Number 7: formation energy from raw total energies -61.9 kJ per mole of atoms. Number 8: formation energy from raw total energies -149.5 kJ per mole of atoms. Number 9: formation energy from raw total energies -82.7 kJ per mole of atoms. Number 10: formation energy from raw total energies -72.2 kJ per mole of atoms. Number 11: formation energy from raw total energies -109.7 kJ per mole of atoms. Number 12: formation energy from raw total energies -62.7 kJ per mole of atoms.